(1)
Computed, not measured: a relaxed structure of LaPm2Sm5Sc at the PBE level of DFT.

* total magnetization: 0.00 μB per formula unit
* energy of formation: 0.277 eV/atom

Cell lengths 8.8274, 8.8274, 15.5696 Å; angles 90.00, 90.00, 90.00 degrees
Last column: nearest neighbours and their distance in Å.
Space group I4/mcm (No. 140)
One atom of each set of equivalent atoms:
La (0.0000, 0.0000, 0.2500)  10 Sm 3.61-3.89
Pm (0.1185, 0.3815, 0.0000)  1 Pm 2.96, 2 Sm 3.09
Sm (0.0000, 0.0000, 0.0000)  4 Pm 3.53, 8 Sm 3.84, 2 La 3.89
Sm (0.2042, 0.2958, 0.3611)  1 Sc 3.08, 1 Pm 3.09
Sc (0.0000, 0.5000, 0.2500)  4 Sm 3.08

(2)
Computed, not measured: a relaxed structure of LaTb4Pm2Sc at the PBE level of DFT.

* total magnetization: 0.00 μB per formula unit
* energy of formation: 0.136 eV/atom

Cell lengths 5.9079, 5.9182, 7.3854 Å; angles 90.00, 90.00, 90.00 degrees
Last column: nearest neighbours and their distance in Å.
Space group Pmmm (No. 47)
One atom of each set of equivalent atoms:
La (0.0000, 0.0000, 0.0000)  8 Tb 3.47, 2 Pm 3.69
Tb (0.0000, 0.5000, 0.2461)  2 Sc 3.47, 2 La 3.47, 4 Pm 3.50, 2 Tb 3.64-3.75
Tb (0.5000, 0.0000, 0.2457)  2 La 3.47, 2 Sc 3.47, 4 Pm 3.50, 2 Tb 3.63-3.76
Pm (0.0000, 0.0000, 0.5000)  8 Tb 3.50, 2 La 3.69
Pm (0.5000, 0.5000, 0.5000)  8 Tb 3.50, 2 Sc 3.69
Sc (0.5000, 0.5000, 0.0000)  8 Tb 3.47, 2 Pm 3.69

(3)
Computed, not measured: a relaxed structure of La2Tb6Pm3Sc at the PBE level of DFT.

* total magnetization: 0.00 μB per formula unit
* energy of formation: 0.026 eV/atom

Cell lengths 6.2185, 10.7685, 11.8954 Å; angles 90.00, 100.03, 90.00 degrees
Last column: nearest neighbours and their distance in Å.
Space group C2/m (No. 12)
One atom of each set of equivalent atoms:
La (0.0000, 0.1664, 0.0000)  3 La 3.58-3.59, 3 Sc 3.59, 6 Tb 3.59
Tb (0.2470, 0.5000, 0.7502)  6 Tb 3.55-3.61, 1 Sc 3.57, 3 Pm 3.58-3.60, 2 La 3.59
Tb (0.2475, 0.3352, 0.2494)  6 Tb 3.55-3.61, 1 Sc 3.57, 3 Pm 3.59-3.61, 2 La 3.59
Pm (0.0000, 0.0000, 0.5000)  6 Tb 3.59-3.60, 6 Pm 3.59
Pm (0.0000, 0.3335, 0.5000)  6 Tb 3.58-3.61, 6 Pm 3.59
Sc (0.0000, 0.5000, 0.0000)  6 Tb 3.57, 6 La 3.59

(4)
Computed, not measured: a relaxed structure of La2TbPm5Sc at the PBE level of DFT.

* total magnetization: 0.00 μB per formula unit
* energy of formation: 0.116 eV/atom

Cell lengths 5.4761, 22.1081, 10.1814 Å; angles 90.00, 90.00, 90.00 degrees
Last column: nearest neighbours and their distance in Å.
Space group Cmc2_1 (No. 36)
One atom of each set of equivalent atoms:
La (0.0000, 0.1167, 0.0000)  1 Sc 3.38, 9 Pm 3.57-3.76
La (0.0000, 0.1170, 0.4866)  1 Sc 3.38, 9 Pm 3.57-3.77
Tb (0.0000, 0.3970, 0.2433)  6 Pm 3.27-3.56
Pm (0.0000, 0.9995, 0.2434)  2 Tb 3.56, 4 La 3.59-3.67, 6 Pm 3.74-3.94
Pm (0.0000, 0.2762, 0.0568)  2 Pm 3.24, 1 Tb 3.28, 3 Sc 3.34-3.47, 1 La 3.57
Pm (0.0000, 0.2766, 0.4307)  2 Pm 3.24, 1 Tb 3.27, 3 Sc 3.34-3.48, 1 La 3.57
Pm (0.0000, 0.3725, 0.7435)  1 Sc 3.51, 4 La 3.70, 4 Pm 3.80-3.84
Pm (0.0000, 0.5000, 0.4933)  2 Tb 3.42, 6 Pm 3.74-3.80, 4 La 3.76-3.77
Sc (0.0000, 0.2137, 0.7436)  7 Pm 3.34-3.51, 2 La 3.38, 2 Tb 3.67

(5)
Computed, not measured: a relaxed structure of La3Tb6Pm2Sc at the PBE level of DFT.

* total magnetization: 0.00 μB per formula unit
* energy of formation: 0.029 eV/atom

Cell lengths 6.2255, 10.7886, 11.9174 Å; angles 90.00, 100.05, 90.00 degrees
Last column: nearest neighbours and their distance in Å.
Space group C2/m (No. 12)
One atom of each set of equivalent atoms:
La (0.0000, 0.0000, 0.0000)  6 La 3.59-3.60, 6 Tb 3.65-3.66
La (0.0000, 0.3331, 0.0000)  6 La 3.59-3.60, 6 Tb 3.64-3.66
Tb (0.2457, 0.3350, 0.7440)  1 Sc 3.52, 2 Pm 3.54-3.55, 6 Tb 3.56-3.61, 3 La 3.64-3.66
Tb (0.2491, 0.5000, 0.2557)  1 Sc 3.53, 2 Pm 3.54, 6 Tb 3.56-3.61, 3 La 3.64-3.66
Pm (0.0000, 0.1662, 0.5000)  6 Tb 3.54-3.55, 3 Pm 3.59-3.60, 3 Sc 3.59-3.60
Sc (0.0000, 0.5000, 0.5000)  6 Tb 3.52-3.53, 6 Pm 3.59-3.60

(6)
Computed, not measured: a relaxed structure of La5TbPm2Sc at the PBE level of DFT.

* total magnetization: 0.00 μB per formula unit
* energy of formation: 0.267 eV/atom

Cell lengths 8.4760, 8.4760, 8.8609 Å; angles 90.00, 90.00, 90.00 degrees
Last column: nearest neighbours and their distance in Å.
Space group P4/mbm (No. 127)
One atom of each set of equivalent atoms:
La (0.0000, 0.0000, 0.0000)  4 Pm 3.35
La (0.2180, 0.2820, 0.2860)  1 Pm 3.16, 1 Sc 3.23
Tb (0.0000, 0.0000, 0.5000)  8 La 3.57
Pm (0.1251, 0.6251, 0.0000)  1 Pm 3.00, 4 La 3.16-3.35
Sc (0.0000, 0.5000, 0.5000)  4 La 3.23

(7)
Computed, not measured: a relaxed structure of LaTb2PmSc at the PBE level of DFT.

* total magnetization: 0.00 μB per formula unit
* energy of formation: 0.047 eV/atom

Cell lengths 6.2747, 5.6807, 9.5430 Å; angles 90.00, 109.03, 90.00 degrees
Last column: nearest neighbours and their distance in Å.
Space group P2_1/m (No. 11)
One atom of each set of equivalent atoms:
La (0.2322, 0.2500, 0.3065)  6 Tb 3.47-3.71, 4 Sc 3.49-3.69, 2 Pm 3.62-3.67
Tb (0.0348, 0.2500, 0.8958)  4 Pm 3.51-3.65, 3 La 3.53-3.71, 1 Sc 3.57, 4 Tb 3.58-3.67
Tb (0.4286, 0.2500, 0.6915)  3 La 3.47-3.55, 4 Sc 3.51-3.65, 3 Pm 3.56-3.69, 2 Tb 3.61-3.67
Pm (0.3654, 0.7500, 0.8996)  7 Tb 3.51-3.69, 2 Pm 3.53, 1 Sc 3.60, 2 La 3.62-3.67
Sc (0.1542, 0.7500, 0.5002)  2 Sc 3.44, 4 La 3.49-3.69, 5 Tb 3.51-3.65, 1 Pm 3.60

(8)
Computed, not measured: a relaxed structure of La4Tb2PmSc at the PBE level of DFT.

* total magnetization: 0.00 μB per formula unit
* energy of formation: 0.088 eV/atom

Cell lengths 5.9133, 5.9225, 7.7317 Å; angles 90.00, 90.00, 90.00 degrees
Last column: nearest neighbours and their distance in Å.
Space group Pmmm (No. 47)
One atom of each set of equivalent atoms:
La (0.0000, 0.0000, 0.2351)  2 Sc 3.47, 4 Tb 3.47-3.60, 2 Pm 3.60, 1 La 3.64
La (0.5000, 0.5000, 0.2366)  4 Tb 3.48-3.59, 2 Sc 3.48, 2 Pm 3.59, 1 La 3.66
Tb (0.0000, 0.5000, 0.0000)  8 La 3.47-3.48, 2 Pm 3.87
Tb (0.5000, 0.0000, 0.5000)  8 La 3.59-3.60, 2 Sc 3.87
Pm (0.0000, 0.5000, 0.5000)  8 La 3.59-3.60, 2 Tb 3.87
Sc (0.5000, 0.0000, 0.0000)  8 La 3.47-3.48, 2 Tb 3.87

What is the energy of formation in the seventh record?
0.047 eV/atom